(1)
Density functional theory data (meta-GGA SCAN) for a crystal of MnCoAg2 relaxed with PBEsol.

a = 3.245 Å, b = 3.245 Å, c = 5.507 Å
α = 90.00°, β = 90.00°, γ = 90.00°
Fractional coordinates of all 4 atoms:
Ag 0.000 0.000 0.756
Ag 0.000 0.000 0.244
Co 0.500 0.500 0.000
Mn 0.500 0.500 0.500

Summary:
Spin magnetization = 5.9 μB/cell
Symmetry = P4/mmm
ΔE_f = 0.245 eV/atom

---

(2)
Density functional theory data (meta-GGA SCAN) for a crystal of LaMoCl relaxed with PBEsol.

a = 4.582 Å, b = 4.582 Å, c = 4.582 Å
α = 60.00°, β = 60.00°, γ = 60.00°
Fractional coordinates of all 3 atoms:
Mo 0.500 0.500 0.500
Cl 0.250 0.250 0.250
La 0.000 0.000 0.000

Summary:
Formation energy from raw total energies = 0.365 eV/atom
Spin magnetization = 3.9 μB/cell
Symmetry = F-43m

---

(3)
Density functional theory data (meta-GGA SCAN) for a crystal of BaYTa2 relaxed with PBEsol.

a = 3.000 Å, b = 6.039 Å, c = 6.039 Å
α = 119.88°, β = 90.00°, γ = 90.00°
Fractional coordinates of all 4 atoms:
Ba 0.500 0.000 0.000
Ta 0.000 0.000 0.500
Ta 0.000 0.500 0.000
Y 0.500 0.500 0.500

Summary:
Spin magnetization = 0.0 μB/cell
Symmetry = Cmmm
ΔE_f = 1.063 eV/atom

---

(4)
Density functional theory data (meta-GGA SCAN) for a crystal of GePO2F relaxed with PBEsol.

a = 3.406 Å, b = 4.331 Å, c = 4.331 Å
α = 90.00°, β = 90.00°, γ = 90.00°
Fractional coordinates of all 5 atoms:
P 0.500 0.000 0.000
Ge 0.500 0.500 0.500
O 0.000 0.000 0.500
O 0.000 0.500 0.000
F 0.000 0.000 0.000

Summary:
Formation energy from raw total energies = 0.635 eV/atom
Spin magnetization = 0.9 μB/cell
Symmetry = P4/mmm

---

no.,VASP energy (eV/atom)
1,-24.328
2,-28.291
3,-49.077
4,-8.462